[1]
CdTe2IrN PBE-GGA optimized geometry; ρ = 8.19 g cm⁻³; polymorph energy (0 for the lowest one) = 0 meV/atom; Fermi-level density of states = 0.712 states/eV per atom; spin magnetization = 0.00 μB/f.u.; space-group type = P4/mmm (123); raw formation energy = 249 meV per atom
1.0
5.635 0.000 0.000
0.000 5.635 0.000
0.000 0.000 3.662
Ir Te Cd N
1 2 1 1
direct
0.000 0.000 0.000
0.500 0.000 0.000
0.000 0.500 0.000
0.500 0.500 0.500
0.000 0.000 0.500

[2]
CdTe2IrN PBE-GGA optimized geometry; ρ = 7.96 g cm⁻³; polymorph energy (0 for the lowest one) = 1429 meV/atom; Fermi-level density of states = 0.664 states/eV per atom; spin magnetization = 1.56 μB/f.u.; space-group type = P4/mmm (123); raw formation energy = 1678 meV per atom
1.0
5.529 0.000 0.000
0.000 5.529 0.000
0.000 0.000 3.916
Ir N Te Cd
1 1 2 1
direct
0.500 0.500 0.500
0.000 0.000 0.500
0.000 0.500 0.000
0.500 0.000 0.000
0.000 0.000 0.000